1.
Nd2TlCd: single point on PBEsol structure, meta-GGA SCAN.

Results
Its space group is No. 225. As for the energy of formation from the pure elements: -2.2 eV/f.u.

Cell: 7.618 7.618 7.618 Å, 90.00 90.00 90.00°
Element x y z (fractional)
Nd 0.250 0.250 0.250
Nd 0.250 0.250 0.750
Nd 0.250 0.750 0.250
Nd 0.250 0.750 0.750
Nd 0.750 0.250 0.250
Nd 0.750 0.250 0.750
Nd 0.750 0.750 0.250
Nd 0.750 0.750 0.750
Tl 0.000 0.000 0.000
Tl 0.000 0.500 0.500
Tl 0.500 0.000 0.500
Tl 0.500 0.500 0.000
Cd 0.000 0.000 0.500
Cd 0.000 0.500 0.000
Cd 0.500 0.000 0.000
Cd 0.500 0.500 0.500


2.
NdZn2Cd: single point on PBEsol structure, meta-GGA SCAN.

Results
Its space group is No. 225. As for the energy of formation from the pure elements: -1.5 eV/f.u.

Cell: 6.811 6.811 6.811 Å, 90.00 90.00 90.00°
Element x y z (fractional)
Nd 0.000 0.000 0.000
Nd 0.000 0.500 0.500
Nd 0.500 0.000 0.500
Nd 0.500 0.500 0.000
Zn 0.250 0.250 0.250
Zn 0.250 0.250 0.750
Zn 0.250 0.750 0.250
Zn 0.250 0.750 0.750
Zn 0.750 0.250 0.250
Zn 0.750 0.250 0.750
Zn 0.750 0.750 0.250
Zn 0.750 0.750 0.750
Cd 0.000 0.000 0.500
Cd 0.000 0.500 0.000
Cd 0.500 0.000 0.000
Cd 0.500 0.500 0.500